Arrangement one

Compound: Ho2Lu
Source: the Alexandria database
Functional: PBE
Structure: optimized geometry

Its crystal system is tetragonal.

It has space group I4/mmm (No. 139), with a = 3.488 Å, b = 3.488 Å, c = 14.884 Å, α = 90.00°, β = 90.00° and γ = 90.00°. The distinct sites, in fractional coordinates, are Ho at (0.000, 0.000, 0.166) and Lu at (0.000, 0.000, 0.500).

***

Arrangement two

Compound: Ho2Lu
Source: the Alexandria database
Functional: PBE
Structure: optimized geometry

Its crystal system is cubic.

It has space group Fd-3m (No. 227, origin choice 2), with a = 9.128 Å, b = 9.128 Å, c = 9.128 Å, α = 90.00°, β = 90.00° and γ = 90.00°. The distinct sites, in fractional coordinates, are Ho at (0.000, 0.000, 0.000) and Lu at (0.125, 0.125, 0.625).

***

Short version: arrangement two is the least stable of them.

***

Arrangement one

Compound: HoLu
Source: the Alexandria database
Functional: PBE
Structure: optimized geometry

Its crystal system is cubic.

It has space group Pm-3m (No. 221), with a = 3.930 Å, b = 3.930 Å, c = 3.930 Å, α = 90.00°, β = 90.00° and γ = 90.00°. The distinct sites, in fractional coordinates, are Ho at (0.000, 0.000, 0.000) and Lu at (0.500, 0.500, 0.500).

***

Arrangement two

Compound: HoLu
Source: the Alexandria database
Functional: PBE
Structure: optimized geometry

Its crystal system is orthorhombic.

It has space group Pmmn (No. 59, origin choice 2), with a = 3.476 Å, b = 4.922 Å, c = 6.971 Å, α = 90.00°, β = 90.00° and γ = 90.00°. The distinct sites, in fractional coordinates, are Ho at (0.250, 0.250, 0.126) and Lu at (0.250, 0.250, 0.624).

***

Short version: arrangement one is the least stable of them.

***

Arrangement one

Compound: Ho2LuMg
Source: the Alexandria database
Functional: PBE
Structure: optimized geometry

Its crystal system is tetragonal.

It has space group P4/mmm (No. 123), with a = 5.363 Å, b = 5.363 Å, c = 3.995 Å, α = 90.00°, β = 90.00° and γ = 90.00°. The distinct sites, in fractional coordinates, are Ho at (0.000, 0.500, 0.000), Lu at (0.000, 0.000, 0.500) and Mg at (0.500, 0.500, 0.500).

***

Arrangement two

Compound: Ho2LuMg
Source: the Alexandria database
Functional: PBE
Structure: optimized geometry

Its crystal system is tetragonal.

It has space group P4/mmm (No. 123), with a = 3.533 Å, b = 3.533 Å, c = 9.241 Å, α = 90.00°, β = 90.00° and γ = 90.00°. The distinct sites, in fractional coordinates, are Ho at (0.000, 0.000, 0.241), Lu at (0.500, 0.500, 0.500) and Mg at (0.500, 0.500, 0.000).

***

Short version: arrangement one is the least stable of them.

***

Arrangement one

Compound: Ho2LuMg
Source: the Alexandria database
Functional: PBE
Structure: optimized geometry

Its crystal system is trigonal.

It has space group R-3m (No. 166, hexagonal axes), with a = 3.4740 Å, b = 3.4740 Å, c = 33.4092 Å, α = 90.00°, β = 90.00° and γ = 120.00°. The distinct sites, in fractional coordinates, are Ho at (0.0000, 0.0000, 0.2485), Lu at (0.0000, 0.0000, 0.0000) and Mg at (0.0000, 0.0000, 0.5000).

***

Arrangement two

Compound: Ho2LuMg
Source: the Alexandria database
Functional: PBE
Structure: optimized geometry

Its crystal system is cubic.

It has space group Fm-3m (No. 225), with a = 7.692 Å, b = 7.692 Å, c = 7.692 Å, α = 90.00°, β = 90.00° and γ = 90.00°. The distinct sites, in fractional coordinates, are Ho at (0.250, 0.250, 0.250), Lu at (0.000, 0.000, 0.000) and Mg at (0.000, 0.000, 0.500).

***

Short version: arrangement two is the least stable of them.